Record 1
Material: Sm4TlCo2
Method: DFT, GGA-PBE
State: optimized geometry

Cell lengths 7.2656, 7.2662, 7.6990 Å; angles 104.56, 104.70, 95.20 degrees
Positions (direct):
Sm  0.0000  0.0000  0.0000
Sm  0.0019  0.5565  0.1303
Sm  0.0059  0.5603  0.6533
Sm  0.4752  0.0212  0.6420
Sm  0.5353  0.0834  0.1439
Sm  0.5420  0.6169  0.2851
Sm  0.5614  0.5582  0.7824
Sm  0.9428  0.0192  0.4978
Tl  0.2493  0.3112  0.8917
Tl  0.2541  0.3056  0.3919
Co  0.3010  0.7271  0.9954
Co  0.7404  0.8100  0.1231
Co  0.7505  0.8189  0.6589
Co  0.8333  0.2596  0.7863

Summary:
For the final energy, the calculation gives -71.8 eV per cell. Its density is 8.17 g/cm³. The value obtained for the formation energy is -65.6 meV/atom.


Record 2
Material: ZrIn3Re
Method: DFT, GGA-PBE
State: optimized geometry

Cell lengths 5.1122, 5.1122, 5.1122 Å; angles 90.00, 90.00, 90.00 degrees
Positions (direct):
Zr  0.0000  0.0000  0.0000
In  0.0000  0.5000  0.5000
In  0.5000  0.0000  0.5000
In  0.5000  0.5000  0.0000
Re  0.5000  0.5000  0.5000

Summary:
For the final energy, the calculation gives -25.0 eV per cell. Its density is 7.73 g/cm³. The excess energy over the best structure of this formula in the dataset is 0.00 eV per formula unit. The value obtained for the formation energy is 845.3 meV/atom.


Record 3
Material: Fe2Rh
Method: DFT, GGA-PBE
State: optimized geometry

Cell lengths 4.7228, 4.7228, 4.7228 Å; angles 60.00, 60.00, 60.00 degrees
Positions (direct):
Fe  0.0000  0.0000  0.0000
Fe  0.0000  0.0000  0.5000
Fe  0.0000  0.5000  0.0000
Fe  0.5000  0.0000  0.0000
Rh  0.3750  0.3750  0.3750
Rh  0.6250  0.6250  0.6250

Summary:
For the final energy, the calculation gives -48.3 eV per cell. Its density is 9.57 g/cm³. The value obtained for the formation energy is 41.3 meV/atom.


Q: Which value of density does entry 3 give?
A: 9.57 g/cm³


Q: What is the final energy in the second record?
A: -25.0 eV per cell